(1)
Compound: TaBeSi3
Source: Alexandria
Functional: GGA-PBE
Structure: optimized geometry

Cell: 4.221 4.221 4.221 Å, 90.00 90.00 90.00°
Sites, in units of the cell vectors:
Be: 0.000 0.000 0.000
Si: 0.000 0.500 0.000
Si: 0.000 0.000 0.500
Si: 0.500 0.000 0.000
Ta: 0.500 0.500 0.500

Output
- SG = Pm-3m
- energy above the lowest structure with this stoichiometry (meV per atom) = 0.0



(2)
Compound: Ta3BeSi
Source: Alexandria
Functional: GGA-PBE
Structure: optimized geometry

Cell: 4.357 4.357 4.357 Å, 90.00 90.00 90.00°
Sites, in units of the cell vectors:
Be: 0.000 0.000 0.000
Si: 0.500 0.500 0.500
Ta: 0.000 0.500 0.000
Ta: 0.000 0.000 0.500
Ta: 0.500 0.000 0.000

Output
- SG = Pm-3m
- energy above the lowest structure with this stoichiometry (meV per atom) = 0.0



We obtain energy relative to the elements, uncorrected values of 0.888; 0.532 eV per atom for the records listed above, in that order.
We obtain total magnetization values of 0.000; 0.000 μB/cell for the records listed above, in that order.